Here is Ti3TcO after structural relaxation from Alexandria via LeMat-Bulk. Energies are from PBE-GGA.

Unit cell a=4.100 b=4.100 c=4.100 alpha=90.00 beta=90.00 gamma=90.00
Element x y z (fractional)
O (0.000, 0.000, 0.000)
Ti (0.000, 0.500, 0.000)
Ti (0.500, 0.000, 0.000)
Ti (0.000, 0.000, 0.500)
Tc (0.500, 0.500, 0.500)

=====

Here is TiTcO3 after structural relaxation from Alexandria via LeMat-Bulk. Energies are from PBE-GGA.

Unit cell a=3.850 b=3.850 c=3.850 alpha=90.00 beta=90.00 gamma=90.00
Element x y z (fractional)
O (0.000, 0.500, 0.000)
O (0.500, 0.000, 0.000)
O (0.000, 0.000, 0.500)
Tc (0.000, 0.000, 0.000)
Ti (0.500, 0.500, 0.500)

=====

Here is TiTc2O after structural relaxation from Alexandria via LeMat-Bulk. Energies are from PBE-GGA.

Unit cell a=7.067 b=7.067 c=5.438 alpha=49.47 beta=49.47 gamma=90.00
Element x y z (fractional)
Tc (0.875, 0.771, 0.750)
Tc (0.229, 0.625, 0.250)
Tc (0.375, 0.479, 0.750)
Tc (0.521, 0.125, 0.250)
O (0.500, 0.500, 0.000)
O (0.250, 0.750, 0.500)
Ti (0.750, 0.250, 0.500)
Ti (0.000, 0.000, 0.000)

=====

no.,energy (eV/f.u.),formation energy (no corrections) (eV/atom)
1,-44.485,-1.095
2,-38.049,-0.983
3,-35.060,-0.369